The following is a DFT calculation (PBE) of a relaxed structure of TaFe3Os.

The structure belongs to space group Pm-3m (No. 221); the cell edges are 4.403, 4.403 and 4.403 Å and the angles 90.00°, 90.00° and 90.00°. The distinct sites, in fractional coordinates, are Ta at (0.000, 0.000, 0.000), Fe at (0.000, 0.500, 0.500) and Os at (0.500, 0.500, 0.500).

As for the crystal system: cubic. The value obtained for the distance to the lowest polymorph of the same formula is 0.00 eV per formula unit.

=====

The following is a DFT calculation (PBE) of a relaxed structure of Ta2FeOs.

The structure belongs to space group R-3m (No. 166, hexagonal axes); the cell edges are 3.0000, 3.0000 and 24.4409 Å and the angles 90.00°, 90.00° and 120.00°. The distinct sites, in fractional coordinates, are Ta at (0.0000, 0.0000, 0.2464), Fe at (0.0000, 0.0000, 0.5000) and Os at (0.0000, 0.0000, 0.0000).

As for the crystal system: trigonal. The value obtained for the distance to the lowest polymorph of the same formula is 1.63 eV per formula unit.

=====

The following is a DFT calculation (PBE) of a relaxed structure of Ta2FeOs.

The structure belongs to space group Imm2 (No. 44); the cell edges are 3.142, 4.415 and 9.029 Å and the angles 90.00°, 90.00° and 90.00°. The distinct sites, in fractional coordinates, are Ta at (0.000, 0.000, 0.000), Ta at (0.000, 0.500, 0.240), Fe at (0.000, 0.500, 0.744) and Os at (0.000, 0.000, 0.495).

As for the crystal system: orthorhombic. The value obtained for the distance to the lowest polymorph of the same formula is 0.55 eV per formula unit.

=====

The following is a DFT calculation (PBE) of a relaxed structure of Ta2Fe2Os.

The structure belongs to space group P4/mbm (No. 127); the cell edges are 6.714, 6.714 and 3.184 Å and the angles 90.00°, 90.00° and 90.00°. The distinct sites, in fractional coordinates, are Ta at (0.191, 0.309, 0.000), Fe at (0.113, 0.613, 0.500) and Os at (0.000, 0.000, 0.500).

As for the crystal system: tetragonal.

=====

| no. | size of the total moment (Bohr magnetons per cell) | ΔH_f (0 K) (kJ/mol of formula units) |
| --- | --- | --- |
| 1 | 4.24 | 734 |
| 2 | 3.13 | 55 |
| 3 | 3.71 | -49 |
| 4 | 0.00 | -21 |